one | BaLaSb2 | PBE | relaxed

a b c (Å): 8.0289 8.0289 8.0289
angles (deg): 90.00 90.00 90.00
Space group F-43m (No. 216)
Symmetry-distinct sites (fractional):
1 Ba 0.0000 0.0000 0.0000 x4
2 La 0.2500 0.2500 0.2500 x4
3 Sb 0.0000 0.0000 0.5000 x4
4 Sb 0.2500 0.2500 0.7500 x4

Calculated values
Total magnetization: 0.0 Bohr magnetons per cell


two | BaLaSb2 | PBE | relaxed

a b c (Å): 4.0772 4.0772 31.5488
angles (deg): 90.00 90.00 120.00
Space group R3m (No. 160, hexagonal axes)
Symmetry-distinct sites (fractional):
1 Ba 0.0000 0.0000 0.0000 x3
2 La 0.0000 0.0000 0.7753 x3
3 Sb 0.0000 0.0000 0.2448 x3
4 Sb 0.0000 0.0000 0.5182 x3

Calculated values
Total magnetization: 0.0 Bohr magnetons per cell


three | BaLaSb2 | PBE | relaxed

a b c (Å): 4.7726 4.7726 24.0175
angles (deg): 90.00 90.00 120.00
Space group R-3m (No. 166, hexagonal axes)
Symmetry-distinct sites (fractional):
1 Ba 0.0000 0.0000 0.0000 x3
2 La 0.0000 0.0000 0.5000 x3
3 Sb 0.0000 0.0000 0.2404 x6

Calculated values
Total magnetization: 0.0 Bohr magnetons per cell


The most stable of them is three.


one | BaLaSb2 | PBE | relaxed

a b c (Å): 12.5371 4.5873 5.0464
angles (deg): 90.00 96.06 90.00
Space group Cm (No. 8)
Symmetry-distinct sites (fractional):
1 Ba 0.0000 0.0000 0.0000 x2
2 La 0.2492 0.5000 0.5239 x2
3 Sb 0.2676 0.0000 0.0432 x2
4 Sb 0.4696 0.0000 0.4878 x2

Calculated values
Total magnetization: 0.0 Bohr magnetons per cell


two | BaLaSb2 | PBE | relaxed

a b c (Å): 3.5539 4.3194 8.7520
angles (deg): 90.00 90.00 90.00
Space group Pmmm (No. 47)
Symmetry-distinct sites (fractional):
1 Ba 0.0000 0.0000 0.0000 x1
2 La 0.0000 0.0000 0.5000 x1
3 Sb 0.5000 0.5000 0.2689 x2

Calculated values
Total magnetization: 0.2 Bohr magnetons per cell


The most stable of them is two.


one | BaLa3Sb | PBE | relaxed

a b c (Å): 6.1948 6.1948 6.1948
angles (deg): 90.00 90.00 90.00
Space group Pm-3m (No. 221)
Symmetry-distinct sites (fractional):
1 Ba 0.0000 0.0000 0.0000 x1
2 La 0.0000 0.5000 0.5000 x3
3 Sb 0.5000 0.5000 0.5000 x1

Calculated values
Total magnetization: 1.8 Bohr magnetons per cell


two | BaLa3Sb | PBE | relaxed

a b c (Å): 5.8166 5.8166 5.8166
angles (deg): 90.00 90.00 90.00
Space group Pm-3m (No. 221)
Symmetry-distinct sites (fractional):
1 Ba 0.0000 0.0000 0.0000 x1
2 La 0.0000 0.0000 0.5000 x3
3 Sb 0.5000 0.5000 0.5000 x1

Calculated values
Total magnetization: 0.0 Bohr magnetons per cell


The most stable of them is one.


one | BaLa2Sb2 | PBE | relaxed

a b c (Å): 6.0646 6.0646 11.5961
angles (deg): 90.00 90.00 90.00
Space group I4/mmm (No. 139)
Symmetry-distinct sites (fractional):
1 Ba 0.0000 0.0000 0.0000 x2
2 La 0.0000 0.0000 0.3248 x4
3 Sb 0.0000 0.5000 0.2500 x4

Calculated values
Total magnetization: 0.1 Bohr magnetons per cell


two | BaLa2Sb2 | PBE | relaxed

a b c (Å): 9.0337 9.0337 4.3125
angles (deg): 90.00 90.00 90.00
Space group P4/mbm (No. 127)
Symmetry-distinct sites (fractional):
1 Ba 0.0000 0.0000 0.0000 x2
2 La 0.1488 0.3512 0.5000 x4
3 Sb 0.1471 0.6471 0.0000 x4

Calculated values
Total magnetization: 0.0 Bohr magnetons per cell


three | BaLa2Sb2 | PBE | relaxed

a b c (Å): 4.9380 4.9380 15.2120
angles (deg): 90.00 90.00 90.00
Space group I4/mmm (No. 139)
Symmetry-distinct sites (fractional):
1 Ba 0.0000 0.0000 0.0000 x2
2 La 0.0000 0.5000 0.2500 x4
3 Sb 0.0000 0.0000 0.3913 x4

Calculated values
Total magnetization: 0.0 Bohr magnetons per cell


The most stable of them is two.


one | BaLaSbTe2 | PBE | relaxed

a b c (Å): 6.1990 6.1990 5.9665
angles (deg): 90.00 90.00 90.00
Space group P4/mmm (No. 123)
Symmetry-distinct sites (fractional):
1 Ba 0.0000 0.0000 0.0000 x1
2 La 0.5000 0.5000 0.5000 x1
3 Sb 0.0000 0.0000 0.5000 x1
4 Te 0.0000 0.5000 0.0000 x2

Calculated values
Total magnetization: 0.2 Bohr magnetons per cell


two | BaLaSbTe2 | PBE | relaxed

a b c (Å): 6.1258 6.1258 6.0075
angles (deg): 90.00 90.00 90.00
Space group P4/mmm (No. 123)
Symmetry-distinct sites (fractional):
1 Ba 0.0000 0.0000 0.0000 x1
2 La 0.5000 0.5000 0.5000 x1
3 Sb 0.5000 0.5000 0.0000 x1
4 Te 0.0000 0.5000 0.5000 x2

Calculated values
Total magnetization: 0.0 Bohr magnetons per cell


The most stable of them is two.


one | BaLaSc2 | PBE | relaxed

a b c (Å): 8.1428 8.1428 8.1428
angles (deg): 90.00 90.00 90.00
Space group Fm-3m (No. 225)
Symmetry-distinct sites (fractional):
1 Ba 0.0000 0.0000 0.0000 x4
2 La 0.0000 0.0000 0.5000 x4
3 Sc 0.2500 0.2500 0.2500 x8

Calculated values
Total magnetization: 0.0 Bohr magnetons per cell


two | BaLaSc2 | PBE | relaxed

a b c (Å): 5.5927 3.5499 13.8553
angles (deg): 90.00 90.00 90.00
Space group Amm2 (No. 38)
Symmetry-distinct sites (fractional):
1 Ba 0.0000 0.0000 0.0000 x2
2 La 0.5000 0.0000 0.6659 x2
3 Sc 0.0000 0.0000 0.2641 x2
4 Sc 0.5000 0.0000 0.3743 x2

Calculated values
Total magnetization: 0.6 Bohr magnetons per cell


three | BaLaSc2 | PBE | relaxed

a b c (Å): 11.5423 3.5602 6.5345
angles (deg): 90.00 98.77 90.00
Space group C2/m (No. 12)
Symmetry-distinct sites (fractional):
1 Ba 0.0000 0.0000 0.0000 x2
2 La 0.0000 0.5000 0.5000 x2
3 Sc 0.2439 0.0000 0.7142 x4

Calculated values
Total magnetization: 0.0 Bohr magnetons per cell


The most stable of them is two.


one | BaLaSc2 | PBE | relaxed

a b c (Å): 3.7858 4.5834 7.9868
angles (deg): 90.00 90.00 90.00
Space group Pmmm (No. 47)
Symmetry-distinct sites (fractional):
1 Ba 0.0000 0.0000 0.0000 x1
2 La 0.0000 0.0000 0.5000 x1
3 Sc 0.5000 0.5000 0.2923 x2

Calculated values
Total magnetization: 0.0 Bohr magnetons per cell


two | BaLaSc2 | PBE | relaxed

a b c (Å): 3.8411 5.8772 5.8800
angles (deg): 90.00 90.00 90.00
Space group Pmmm (No. 47)
Symmetry-distinct sites (fractional):
1 Ba 0.0000 0.0000 0.0000 x1
2 La 0.5000 0.5000 0.0000 x1
3 Sc 0.0000 0.5000 0.5000 x1
4 Sc 0.5000 0.0000 0.5000 x1

Calculated values
Total magnetization: 0.0 Bohr magnetons per cell


The most stable of them is one.


one | BaLa2Sc | PBE | relaxed

a b c (Å): 5.2577 5.2577 5.3146
angles (deg): 90.00 90.00 90.00
Space group P4/mmm (No. 123)
Symmetry-distinct sites (fractional):
1 Ba 0.0000 0.0000 0.0000 x1
2 La 0.0000 0.5000 0.5000 x2
3 Sc 0.5000 0.5000 0.0000 x1

Calculated values
Total magnetization: 0.0 Bohr magnetons per cell


two | BaLa2Sc | PBE | relaxed

a b c (Å): 6.0837 6.0837 4.0251
angles (deg): 90.00 90.00 90.00
Space group P4/mmm (No. 123)
Symmetry-distinct sites (fractional):
1 Ba 0.0000 0.0000 0.0000 x1
2 La 0.0000 0.5000 0.5000 x2
3 Sc 0.5000 0.5000 0.0000 x1

Calculated values
Total magnetization: 0.0 Bohr magnetons per cell


three | BaLa2Sc | PBE | relaxed

a b c (Å): 7.3729 10.5022 3.7395
angles (deg): 90.00 90.00 90.00
Space group Cmmm (No. 65)
Symmetry-distinct sites (fractional):
1 Ba 0.0000 0.0000 0.0000 x2
2 La 0.2500 0.2500 0.5000 x4
3 Sc 0.0000 0.5000 0.0000 x2

Calculated values
Total magnetization: 0.0 Bohr magnetons per cell


The most stable of them is three.


one | BaLa2Sc | PBE | relaxed

a b c (Å): 9.1672 9.1672 7.0784
angles (deg): 90.00 90.00 90.00
Space group I-42d (No. 122)
Symmetry-distinct sites (fractional):
1 Ba 0.0000 0.0000 0.0000 x4
2 La 0.2336 0.7500 0.6250 x8
3 Sc 0.0000 0.0000 0.5000 x4

Calculated values
Total magnetization: 0.0 Bohr magnetons per cell


two | BaLa2Sc | PBE | relaxed

a b c (Å): 3.7386 3.7386 36.8237
angles (deg): 90.00 90.00 120.00
Space group R-3m (No. 166, hexagonal axes)
Symmetry-distinct sites (fractional):
1 Ba 0.0000 0.0000 0.0000 x3
2 La 0.0000 0.0000 0.2393 x6
3 Sc 0.0000 0.0000 0.5000 x3

Calculated values
Total magnetization: 0.0 Bohr magnetons per cell


three | BaLa2Sc | PBE | relaxed

a b c (Å): 5.3074 5.3074 10.4415
angles (deg): 90.00 90.00 90.00
Space group I-4m2 (No. 119)
Symmetry-distinct sites (fractional):
1 Ba 0.0000 0.0000 0.0000 x2
2 La 0.0000 0.0000 0.5000 x2
3 La 0.0000 0.5000 0.7500 x2
4 Sc 0.0000 0.5000 0.2500 x2

Calculated values
Total magnetization: 0.0 Bohr magnetons per cell


The most stable of them is two.


one | BaLa2Sc | PBE | relaxed

a b c (Å): 8.4531 8.4531 8.4531
angles (deg): 90.00 90.00 90.00
Space group Fm-3m (No. 225)
Symmetry-distinct sites (fractional):
1 Ba 0.0000 0.0000 0.0000 x4
2 La 0.2500 0.2500 0.2500 x8
3 Sc 0.0000 0.0000 0.5000 x4

Calculated values
Total magnetization: 0.0 Bohr magnetons per cell


two | BaLa2Sc | PBE | relaxed

a b c (Å): 3.9364 6.0954 12.5295
angles (deg): 90.00 90.00 90.00
Space group Imm2 (No. 44)
Symmetry-distinct sites (fractional):
1 Ba 0.0000 0.0000 0.0000 x2
2 La 0.0000 0.0000 0.5542 x2
3 La 0.0000 0.5000 0.7815 x2
4 Sc 0.0000 0.5000 0.2652 x2

Calculated values
Total magnetization: 0.0 Bohr magnetons per cell


The most stable of them is two.


one | BaLa2Sc | PBE | relaxed

a b c (Å): 3.9754 3.9754 9.9100
angles (deg): 90.00 90.00 90.00
Space group P4/mmm (No. 123)
Symmetry-distinct sites (fractional):
1 Ba 0.0000 0.0000 0.0000 x1
2 La 0.5000 0.5000 0.3051 x2
3 Sc 0.0000 0.0000 0.5000 x1

Calculated values
Total magnetization: 0.0 Bohr magnetons per cell


two | BaLa2Sc | PBE | relaxed

a b c (Å): 5.2929 5.2929 10.4502
angles (deg): 90.00 90.00 90.00
Space group I4/mmm (No. 139)
Symmetry-distinct sites (fractional):
1 Ba 0.0000 0.0000 0.0000 x2
2 La 0.0000 0.5000 0.2500 x4
3 Sc 0.0000 0.0000 0.5000 x2

Calculated values
Total magnetization: 0.0 Bohr magnetons per cell


The most stable of them is one.


one | BaLa2Sc | PBE | relaxed

a b c (Å): 3.7964 3.7964 10.4930
angles (deg): 90.00 90.00 90.00
Space group P4mm (No. 99)
Symmetry-distinct sites (fractional):
1 Ba 0.0000 0.0000 0.0000 x1
2 La 0.0000 0.0000 0.5378 x1
3 La 0.5000 0.5000 0.3027 x1
4 Sc 0.5000 0.5000 0.7400 x1

Calculated values
Total magnetization: 0.0 Bohr magnetons per cell


two | BaLa2Sc | PBE | relaxed

a b c (Å): 3.8853 6.2269 12.6168
angles (deg): 90.00 90.00 90.00
Space group Immm (No. 71)
Symmetry-distinct sites (fractional):
1 Ba 0.0000 0.0000 0.0000 x2
2 La 0.0000 0.5000 0.2195 x4
3 Sc 0.0000 0.0000 0.5000 x2

Calculated values
Total magnetization: 0.0 Bohr magnetons per cell


The most stable of them is one.